(1)
The following is a DFT calculation (PBE) of Li3LaU2Se6 after structural relaxation.

## Properties
Energy, eV per cell: -70.28
Magnetic moment, Bohr magnetons per cell: 6.01
Formation energy from raw total energies, eV per atom: -1.344

a b c (Å): 7.1636 7.1636 6.9781
angles (deg): 99.87 99.87 120.02
Fractional coordinates of all 12 atoms:
Li  0.0000  0.0000  0.0000
Li  0.3327  0.6673  0.0000
Li  0.6673  0.3327  0.0000
La  0.5000  0.5000  0.5000
U  0.1661  0.8339  0.5000
U  0.8339  0.1661  0.5000
Se  0.0681  0.4140  0.2413
Se  0.2426  0.2426  0.7630
Se  0.4140  0.0681  0.2413
Se  0.5860  0.9319  0.7587
Se  0.7574  0.7574  0.2370
Se  0.9319  0.5860  0.7587

(2)
The following is a DFT calculation (PBE) of LiLa2YSe4 after structural relaxation.

## Properties
Energy, eV per cell: -46.75
Magnetic moment, Bohr magnetons per cell: 0.00
Formation energy from raw total energies, eV per atom: -1.822

a b c (Å): 7.1994 4.1998 7.2792
angles (deg): 90.00 109.61 90.00
Fractional coordinates of all 8 atoms:
Li  0.0000  0.0000  0.0000
La  0.5000  0.0000  0.5000
La  0.5000  0.5000  0.0000
Y  0.0000  0.5000  0.5000
Se  0.2302  0.0000  0.7482
Se  0.2303  0.5000  0.2414
Se  0.7698  0.0000  0.2518
Se  0.7697  0.5000  0.7586

> Look up the formation energy from raw total energies of the first one.

-1.344 eV per atom